1.
{"formula": "NiOsBr2", "functional": "SCAN", "state": "single point on PBEsol structure", "final_energy_ev_per_atom": -30.72, "relative_energy_mev_per_atom": 0, "raw_formation_energy_mev_per_atom": 1019, "volume_a3_per_fu": 73, "lattice_angstrom": [[-0.9463, -1.9770, 2.0514], [3.9809, -0.3298, 1.5187], [-2.5473, 5.4062, 1.8385]], "species": ["Os", "Br", "Br", "Ni"], "fractional_positions": [[0.2551, 0.7551, 0.5102], [0.9468, 0.9468, 0.8937], [0.7188, 0.2188, 0.4375], [0.5793, 0.5793, 0.1586]]}

2.
{"formula": "Ba2CaTl", "functional": "SCAN", "state": "single point on PBEsol structure", "final_energy_ev_per_atom": -40.60, "relative_energy_mev_per_atom": 0, "delta_e_f_ev_per_atom": -0.321, "volume_a3_per_fu": 169, "lattice_angstrom": [[4.1149, 0.0000, 0.0000], [0.0000, 6.2486, 0.0000], [-2.0574, -3.1243, 6.5543]], "species": ["Ba", "Ba", "Tl", "Ca"], "fractional_positions": [[0.0461, 0.0461, 0.0922], [0.2426, 0.7426, 0.4852], [0.7634, 0.2634, 0.5267], [0.4479, 0.4479, 0.8959]]}

3.
{"formula": "MnTeAu2", "functional": "SCAN", "state": "single point on PBEsol structure", "final_energy_ev_per_atom": -48.59, "raw_formation_energy_mev_per_atom": -134, "volume_a3_per_fu": 77, "lattice_angstrom": [[3.0351, 0.0000, 0.0000], [0.0000, 3.0351, 0.0000], [0.0000, 0.0000, 8.3757]], "species": ["Au", "Au", "Te", "Mn"], "fractional_positions": [[0.0000, 0.0000, 0.8009], [0.0000, 0.0000, 0.1991], [0.5000, 0.5000, 0.5000], [0.5000, 0.5000, 0.0000]]}

4.
{"formula": "Pr2CdPd2", "functional": "SCAN", "state": "single point on PBEsol structure", "final_energy_ev_per_atom": -37.32, "delta_e_f_ev_per_atom": -0.800, "volume_a3_per_fu": 116, "lattice_angstrom": [[-0.9339, 3.1876, 2.0309], [-7.3704, -0.8229, -2.0976], [-1.2882, -4.3479, 6.2318]], "species": ["Cd", "Cd", "Pr", "Pr", "Pr", "Pr", "Pd", "Pd", "Pd", "Pd"], "fractional_positions": [[0.0000, 0.5000, 0.5000], [0.0000, 0.0000, 0.0000], [0.5000, 0.8256, 0.6744], [0.5000, 0.6744, 0.1744], [0.5000, 0.1744, 0.3256], [0.5000, 0.3256, 0.8256], [0.0000, 0.3729, 0.1271], [0.0000, 0.1271, 0.6271], [0.0000, 0.6271, 0.8729], [0.0000, 0.8729, 0.3729]]}

5.
{"formula": "IrOsAu2", "functional": "SCAN", "state": "single point on PBEsol structure", "final_energy_ev_per_atom": -69.77, "relative_energy_mev_per_atom": 188, "delta_e_f_ev_per_atom": 0.551, "volume_a3_per_fu": 61, "lattice_angstrom": [[2.7737, 0.0000, 0.0000], [-1.3869, 4.6168, -0.0044], [0.0000, -0.8125, 4.7740]], "species": ["Au", "Au", "Ir", "Os"], "fractional_positions": [[0.7521, 0.5043, 0.7518], [0.2479, 0.4957, 0.2482], [0.0000, 0.0000, 0.5000], [0.5000, 0.0000, 0.0000]]}

6.
{"formula": "BaNaSnRh2", "functional": "SCAN", "state": "single point on PBEsol structure", "final_energy_ev_per_atom": -28.26, "delta_e_f_ev_per_atom": 1.182, "volume_a3_per_fu": 135, "lattice_angstrom": [[5.0377, 0.0000, 0.0000], [0.0000, 5.0377, 0.0000], [0.0000, 0.0000, 5.3275]], "species": ["Rh", "Rh", "Ba", "Sn", "Na"], "fractional_positions": [[0.0000, 0.5000, 0.0000], [0.5000, 0.0000, 0.0000], [0.0000, 0.0000, 0.0000], [0.5000, 0.5000, 0.5000], [0.0000, 0.0000, 0.5000]]}